# CuNiGe2O6, optimized geometry, DFT PBE with a Hubbard U
data_CuNiGe2O6
_symmetry_space_group_name_H-M 'C 1 2/c 1'
_symmetry_Int_Tables_number 15
_symmetry_space_group_name_Hall '-C 2yc'
_cell_length_a 9.8810
_cell_length_b 9.0980
_cell_length_c 5.2389
_cell_angle_alpha 90.00
_cell_angle_beta 104.74
_cell_angle_gamma 90.00
loop_
_atom_site_label
_atom_site_type_symbol
_atom_site_fract_x
_atom_site_fract_y
_atom_site_fract_z
Cu1 Cu 0.0000 0.2360 0.2500
Ni1 Ni 0.0000 0.4091 0.7500
Ge1 Ge 0.1993 0.0929 0.7671
O1 O 0.1164 0.2499 0.6069
O2 O 0.1159 0.4136 0.1352
O3 O 0.1391 0.0656 0.0616
# - theoretical density (Mg/m³) = 5.30
# - calculated total energy (eV/atom) = -5.85
# - crystal system = monoclinic